Below is crystalline Al2IrRh at its relaxed geometry, with properties calculated at the PBEsol level.

Computed properties:
Its energy is -7.1905 eV per atom. Its distance to the lowest polymorph of the same formula is 366 meV/atom. Its density of states at the Fermi level is 4.7 states/eV/cell. The calculation puts the formation energy at -2.6 eV per formula unit. As for the size of the total moment: 0.00 μB per formula unit.

Structure (POSCAR):
```
Al2IrRh
1.0
8.159 0.000 0.000
0.000 2.834 0.000
-1.000 0.000 4.795
Al Ir Rh
4 2 2
Direct
0.250 0.000 0.248
0.250 0.500 0.752
0.750 0.000 0.752
0.750 0.500 0.248
0.000 0.500 0.000
0.500 0.000 0.000
0.000 0.000 0.500
0.500 0.500 0.500
```

Below is crystalline Al2IrRh at its relaxed geometry, with properties calculated at the PBEsol level.

Computed properties:
Its energy is -7.5566 eV per atom. Its distance to the lowest polymorph of the same formula is 0 meV/atom. Its density of states at the Fermi level is 4.5 states/eV/cell. The calculation puts the formation energy at -4.1 eV per formula unit. As for the size of the total moment: 0.00 μB per formula unit.

Structure (POSCAR):
```
Al2IrRh
1.0
5.961 0.000 0.000
0.000 5.961 0.000
0.000 0.000 5.961
Al Ir Rh
8 4 4
Direct
0.250 0.250 0.250
0.250 0.250 0.750
0.250 0.750 0.250
0.250 0.750 0.750
0.750 0.250 0.250
0.750 0.250 0.750
0.750 0.750 0.250
0.750 0.750 0.750
0.000 0.000 0.000
0.000 0.500 0.500
0.500 0.000 0.500
0.500 0.500 0.000
0.000 0.000 0.500
0.000 0.500 0.000
0.500 0.000 0.000
0.500 0.500 0.500
```

Below is crystalline AlIrRh2 at its relaxed geometry, with properties calculated at the PBEsol level.

Computed properties:
Its energy is -8.0183 eV per atom. Its density of states at the Fermi level is 3.8 states/eV/cell. The calculation puts the formation energy at -1.9 eV per formula unit. As for the size of the total moment: 0.00 μB per formula unit.

Structure (POSCAR):
```
AlIrRh2
1.0
3.808 0.000 0.000
0.000 3.808 0.000
0.000 0.000 7.496
Al Ir Rh
2 2 4
Direct
0.000 0.000 0.000
0.500 0.500 0.500
0.000 0.000 0.500
0.500 0.500 0.000
0.000 0.500 0.250
0.000 0.500 0.750
0.500 0.000 0.250
0.500 0.000 0.750
```

Below is crystalline AlIrRh2 at its relaxed geometry, with properties calculated at the PBEsol level.

Computed properties:
Its energy is -7.8594 eV per atom. Its density of states at the Fermi level is 5.2 states/eV/cell. The calculation puts the formation energy at -1.2 eV per formula unit. As for the size of the total moment: 0.00 μB per formula unit.

Structure (POSCAR):
```
AlIrRh2
1.0
2.798 0.000 0.000
0.000 4.426 0.000
0.000 0.000 4.435
Al Ir Rh
1 1 2
Direct
0.000 0.000 0.000
0.500 0.500 0.000
0.000 0.500 0.500
0.500 0.000 0.500
```

Below is crystalline AlIr2Rh at its relaxed geometry, with properties calculated at the PBEsol level.

Computed properties:
Its energy is -8.1591 eV per atom. Its density of states at the Fermi level is 4.0 states/eV/cell. The calculation puts the formation energy at -0.8 eV per formula unit. As for the size of the total moment: 0.00 μB per formula unit.

Structure (POSCAR):
```
AlIr2Rh
1.0
2.734 0.000 0.000
0.000 4.559 0.000
-0.064 0.000 4.537
Al Ir Rh
1 2 1
Direct
0.000 0.000 0.000
0.252 0.500 0.749
0.748 0.500 0.251
0.500 0.000 0.500
```

Below is crystalline Al2IrRh at its relaxed geometry, with properties calculated at the PBEsol level.

Computed properties:
Its energy is -6.8754 eV per atom. Its distance to the lowest polymorph of the same formula is 681 meV/atom. Its density of states at the Fermi level is 18.5 states/eV/cell. The calculation puts the formation energy at -1.4 eV per formula unit. As for the size of the total moment: 0.00 μB per formula unit.

Structure (POSCAR):
```
Al2IrRh
1.0
6.087 0.000 0.000
0.000 6.087 0.000
0.000 0.000 6.087
Al Ir Rh
8 4 4
Direct
0.000 0.000 0.000
0.000 0.500 0.500
0.250 0.250 0.250
0.250 0.750 0.750
0.500 0.000 0.500
0.500 0.500 0.000
0.750 0.250 0.750
0.750 0.750 0.250
0.250 0.250 0.750
0.250 0.750 0.250
0.750 0.250 0.250
0.750 0.750 0.750
0.000 0.000 0.500
0.000 0.500 0.000
0.500 0.000 0.000
0.500 0.500 0.500
```

Below is crystalline AlIr2Rh at its relaxed geometry, with properties calculated at the PBEsol level.

Computed properties:
Its energy is -8.3126 eV per atom. Its density of states at the Fermi level is 4.1 states/eV/cell. The calculation puts the formation energy at -1.4 eV per formula unit. As for the size of the total moment: 0.00 μB per formula unit.

Structure (POSCAR):
```
AlIr2Rh
1.0
2.742 0.000 0.000
0.000 2.742 0.000
0.000 0.000 7.303
Al Ir Rh
1 2 1
Direct
0.000 0.000 0.000
0.500 0.500 0.244
0.500 0.500 0.756
0.000 0.000 0.500
```

Below is crystalline AlIr2Rh at its relaxed geometry, with properties calculated at the PBEsol level.

Computed properties:
Its energy is -8.2724 eV per atom. Its density of states at the Fermi level is 10.6 states/eV/cell. The calculation puts the formation energy at -1.2 eV per formula unit. As for the size of the total moment: 0.00 μB per formula unit.

Structure (POSCAR):
```
AlIr2Rh
1.0
2.801 0.000 0.000
0.000 4.366 0.000
0.000 0.000 9.079
Al Ir Rh
2 4 2
Direct
0.000 0.000 0.000
0.500 0.500 0.500
0.000 0.500 0.276
0.000 0.500 0.724
0.500 0.000 0.224
0.500 0.000 0.776
0.000 0.000 0.500
0.500 0.500 0.000
```